This record from the Alexandria database describes crystalline MgS2BrN at its relaxed geometry. The functional is GGA-PBE.

Lattice parameters (Å, degrees): 4.969 4.969 4.099 90.00 90.00 90.00
Each line ends with the local moment (μB).
Element x y z (fractional)
Mg 0.000 0.000 0.000  -0.01
N 0.000 0.000 0.500  1.24
Br 0.500 0.500 0.500  0.02
S 0.000 0.500 0.000  0.04
S 0.500 0.000 0.000  0.04

Computed properties:
For the mass density, the calculation gives 2.99 g/cm³. The raw formation energy is 0.951 eV/atom. As for the excess energy over the best structure of this formula in the dataset: 0.0 meV per atom. The value obtained for the total energy is -3.02 eV/atom.